[1]
DFT (GGA-PBE) results for a relaxed Zr2ScOs crystal.

Cell and atoms, written as POSCAR:
```
Zr2ScOs
1.0
-2.025 2.521 3.177
-2.286 -2.175 0.269
1.880 -3.616 4.068
Os Sc Zr
1 1 2
direct
0.000 0.504 0.494
0.500 0.681 0.732
0.000 0.001 0.998
0.500 0.314 0.276
```

Summary:
Formation energy ... -0.13 eV/atom
Symmetry ... Pm, No. 6

---

[2]
DFT (GGA-PBE) results for a relaxed K2NdSbSe4 crystal.

Cell and atoms, written as POSCAR:
```
K2NdSbSe4
1.0
-0.708 -4.104 1.072
2.712 1.318 6.837
-7.951 1.419 0.178
K Nd Sb Se
2 1 1 4
direct
0.500 0.000 0.500
0.000 0.500 0.500
0.500 0.500 0.000
0.000 0.000 0.000
0.500 0.231 0.207
0.500 0.769 0.793
0.000 0.258 0.791
0.000 0.742 0.209
```

Summary:
Raw formation energy ... -1222 meV per atom
Symmetry ... P2/m, No. 10

---

[3]
DFT (GGA-PBE) results for a relaxed MnCu5Pt2 crystal.

Cell and atoms, written as POSCAR:
```
MnCu5Pt2
1.0
-0.388 3.663 -0.730
-3.264 0.484 4.158
8.290 2.127 6.260
Mn Cu Pt
2 10 4
direct
0.000 0.000 0.500
0.000 0.500 0.000
0.000 0.000 0.000
0.000 0.500 0.500
0.000 0.501 0.750
0.000 0.499 0.250
0.000 0.999 0.250
0.000 0.001 0.750
0.500 0.246 0.872
0.500 0.754 0.128
0.500 0.254 0.372
0.500 0.746 0.628
0.500 0.250 0.624
0.500 0.750 0.376
0.500 0.250 0.124
0.500 0.750 0.876
```

Summary:
Formation energy ... -0.18 eV/atom
Symmetry ... Pbam, No. 55

---

[4]
DFT (GGA-PBE) results for a relaxed Ac4RuPt2 crystal.

Cell and atoms, written as POSCAR:
```
Ac4RuPt2
1.0
-3.672 -1.876 1.858
3.311 -6.747 -0.269
2.714 5.422 5.333
Ac Ru Pt
4 1 2
direct
0.129 0.462 0.259
0.871 0.538 0.741
0.381 0.046 0.762
0.619 0.954 0.238
0.000 0.000 0.000
0.245 0.244 0.491
0.755 0.756 0.509
```

Summary:
Formation energy ... -0.71 eV/atom
Symmetry ... C2/m, No. 12
Relative energy among the computed polymorphs ... 0.0 meV per atom

---

[5]
DFT (GGA-PBE) results for a relaxed NiSeSN crystal.

Cell and atoms, written as POSCAR:
```
NiSeSN
1.0
-2.695 0.638 0.998
-1.069 -0.081 -2.835
-2.966 -14.949 1.546
Ni Se S N
2 2 2 2
direct
0.000 0.000 0.389
0.500 0.500 0.889
0.000 0.500 0.699
0.500 0.000 0.199
0.000 0.500 0.992
0.500 0.000 0.492
0.000 0.500 0.812
0.500 0.000 0.312
```

Summary:
Raw formation energy ... 343 meV per atom
Symmetry ... Imm2, No. 44
Relative energy among the computed polymorphs ... 141.0 meV per atom

---

[6]
DFT (GGA-PBE) results for a relaxed ZrAg2Cl crystal.

Cell and atoms, written as POSCAR:
```
ZrAg2Cl
1.0
4.769 -0.034 0.000
0.031 4.769 0.000
-2.400 -2.368 3.373
Ag Cl Zr
2 1 1
direct
0.000 0.000 0.000
0.250 0.750 0.500
0.500 0.500 0.000
0.750 0.250 0.500
```

Summary:
Raw formation energy ... 19 meV per atom
Symmetry ... F-43m, No. 216
Relative energy among the computed polymorphs ... 420.3 meV per atom

---

[7]
DFT (GGA-PBE) results for a relaxed Mn3NbI crystal.

Cell and atoms, written as POSCAR:
```
Mn3NbI
1.0
4.734 0.000 0.000
0.000 4.734 0.000
0.000 0.000 4.734
I Nb Mn
1 1 3
direct
0.000 0.000 0.000
0.500 0.500 0.500
0.000 0.500 0.000
0.000 0.000 0.500
0.500 0.000 0.000
```

Summary:
Raw formation energy ... 1580 meV per atom
Symmetry ... Pm-3m, No. 221
Relative energy among the computed polymorphs ... 281.9 meV per atom

---

[8]
DFT (GGA-PBE) results for a relaxed Tb3Er8Th2 crystal.

Cell and atoms, written as POSCAR:
```
Tb3Er8Th2
1.0
5.570 0.000 0.756
0.000 7.339 0.000
-1.396 -3.670 10.233
Tb Er Th
3 8 2
direct
0.500 0.000 0.000
0.000 0.277 0.000
0.000 0.723 0.000
0.000 0.666 0.332
0.000 0.334 0.668
0.999 0.139 0.278
0.001 0.861 0.722
0.501 0.608 0.780
0.501 0.172 0.780
0.499 0.828 0.220
0.499 0.392 0.220
0.500 0.245 0.490
0.500 0.755 0.510
```

Summary:
Formation energy ... 0.28 eV/atom
Symmetry ... C2/m, No. 12
Relative energy among the computed polymorphs ... 132.2 meV per atom

---

[9]
DFT (GGA-PBE) results for a relaxed LiDy3In4Te8 crystal.

Cell and atoms, written as POSCAR:
```
LiDy3In4Te8
1.0
-1.084 6.205 -6.185
-9.039 -1.743 -0.167
3.773 2.065 7.711
Li Dy In Te
1 3 4 8
direct
0.000 0.500 0.000
0.500 0.500 0.000
0.500 0.500 0.500
0.000 0.500 0.500
0.500 0.000 0.000
0.500 0.000 0.500
0.000 0.000 0.000
0.000 0.000 0.500
0.248 0.732 0.985
0.248 0.733 0.496
0.257 0.272 0.515
0.737 0.732 0.985
0.263 0.268 0.015
0.743 0.728 0.485
0.752 0.267 0.504
0.752 0.268 0.015
```

Summary:
Raw formation energy ... -831 meV per atom
Symmetry ... R-3m, No. 166

---

[10]
DFT (GGA-PBE) results for a relaxed La3Pm8Er4 crystal.

Cell and atoms, written as POSCAR:
```
La3Pm8Er4
1.0
6.918 -0.139 -0.200
-3.369 8.597 1.586
-3.369 -1.497 8.612
La Pm Er
3 8 4
direct
0.500 0.500 0.000
0.500 0.000 0.500
0.500 0.500 0.500
0.762 0.297 0.297
0.000 0.706 0.294
0.180 0.246 0.246
0.500 0.752 0.248
0.500 0.248 0.752
0.820 0.754 0.754
0.000 0.294 0.706
0.238 0.703 0.703
0.500 0.000 0.000
0.000 0.500 0.000
0.000 0.000 0.000
0.000 0.000 0.500
```

Summary:
Formation energy ... 0.33 eV/atom
Symmetry ... C2/m, No. 12

---

[11]
DFT (GGA-PBE) results for a relaxed CeBeI crystal.

Cell and atoms, written as POSCAR:
```
CeBeI
1.0
5.876 0.294 0.242
3.107 3.074 0.389
0.978 0.910 9.606
I Ce Be
2 2 2
direct
0.772 0.387 0.181
0.228 0.613 0.819
0.312 0.251 0.374
0.688 0.749 0.626
0.763 0.264 0.447
0.237 0.736 0.553
```

Summary:
Raw formation energy ... -416 meV per atom
Symmetry ... P-1, No. 2

---

[12]
DFT (GGA-PBE) results for a relaxed LiC crystal.

Cell and atoms, written as POSCAR:
```
LiC
1.0
-1.190 -1.747 -5.800
2.133 -5.653 1.265
-5.669 -1.761 1.693
Li C
6 6
direct
0.250 0.000 0.500
0.750 0.000 0.500
0.000 0.500 0.250
0.000 0.500 0.750
0.500 0.250 0.000
0.500 0.750 0.000
0.250 0.500 0.000
0.750 0.500 0.000
0.500 0.000 0.250
0.500 0.000 0.750
0.000 0.250 0.500
0.000 0.750 0.500
```

Summary:
Formation energy ... 2.39 eV/atom
Symmetry ... Pm-3n, No. 223
Relative energy among the computed polymorphs ... 2374.8 meV per atom

---

[13]
DFT (GGA-PBE) results for a relaxed Pu3MgPa3N8 crystal.

Cell and atoms, written as POSCAR:
```
Pu3MgPa3N8
1.0
-2.450 0.434 6.424
6.226 -2.723 -1.135
-1.033 6.707 -0.847
Pu Mg Pa N
3 1 3 8
direct
0.000 0.000 0.000
0.000 0.500 0.000
0.500 0.500 0.000
0.000 0.000 0.500
0.500 0.000 0.500
0.500 0.500 0.500
0.000 0.500 0.500
0.254 0.509 0.263
0.746 0.491 0.737
0.764 0.527 0.275
0.236 0.473 0.725
0.764 0.012 0.275
0.236 0.988 0.725
0.248 0.012 0.276
0.752 0.988 0.724
```

Summary:
Raw formation energy ... -1198 meV per atom
Symmetry ... R-3m, No. 166

---

[14]
DFT (GGA-PBE) results for a relaxed Th3TcSn crystal.

Cell and atoms, written as POSCAR:
```
Th3TcSn
1.0
6.007 0.000 0.000
0.000 6.451 -3.723
0.000 0.000 7.448
Th Tc Sn
6 2 2
direct
0.250 0.819 0.181
0.750 0.181 0.819
0.250 0.819 0.638
0.750 0.181 0.362
0.250 0.362 0.181
0.750 0.638 0.819
0.000 0.000 0.000
0.500 0.000 0.000
0.250 0.333 0.667
0.750 0.667 0.333
```

Summary:
Formation energy ... -0.28 eV/atom
Symmetry ... P6_3/mmc, No. 194
Relative energy among the computed polymorphs ... 26.5 meV per atom

---

[15]
DFT (GGA-PBE) results for a relaxed GePPd crystal.

Cell and atoms, written as POSCAR:
```
GePPd
1.0
3.257 0.000 0.022
0.000 4.893 0.000
-1.658 0.000 12.645
Ge P Pd
4 4 4
direct
0.748 0.000 0.192
0.748 0.500 0.692
0.875 0.000 0.534
0.875 0.500 0.034
0.362 0.000 0.883
0.362 0.500 0.383
0.915 0.000 0.002
0.915 0.500 0.502
0.447 0.000 0.698
0.447 0.500 0.198
0.339 0.000 0.345
0.339 0.500 0.845
```

Summary:
Formation energy ... -0.15 eV/atom
Symmetry ... Cm, No. 8
Relative energy among the computed polymorphs ... 70.7 meV per atom

---

[16]
DFT (GGA-PBE) results for a relaxed TbPaC2 crystal.

Cell and atoms, written as POSCAR:
```
TbPaC2
1.0
-0.533 -1.906 3.005
0.847 -3.496 0.087
5.598 -0.424 2.878
Tb Pa C
1 1 2
direct
0.498 0.498 0.506
0.667 0.667 0.000
0.075 0.075 0.774
0.260 0.260 0.219
```

Summary:
Formation energy ... -0.21 eV/atom
Symmetry ... R3m, No. 160
Relative energy among the computed polymorphs ... 174.5 meV per atom

---

[17]
DFT (GGA-PBE) results for a relaxed In2CuAu crystal.

Cell and atoms, written as POSCAR:
```
In2CuAu
1.0
-2.527 -2.709 5.455
2.821 -3.106 5.087
-0.876 5.164 -4.006
Au Cu In
1 1 2
direct
0.441 0.441 0.000
0.244 0.744 0.500
0.047 0.047 0.000
0.769 0.269 0.500
```

Summary:
Formation energy ... -0.03 eV/atom
Symmetry ... Imm2, No. 44

---

[18]
DFT (GGA-PBE) results for a relaxed ThZnPb crystal.

Cell and atoms, written as POSCAR:
```
ThZnPb
1.0
4.248 0.000 0.000
0.000 4.248 0.000
-2.124 -2.124 4.598
Pb Zn Th
1 1 1
direct
0.943 0.943 0.886
0.622 0.622 0.244
0.285 0.285 0.570
```

Summary:
Formation energy ... 0.05 eV/atom
Symmetry ... I4mm, No. 107

---

[19]
DFT (GGA-PBE) results for a relaxed Ca2Be3Si4Au crystal.

Cell and atoms, written as POSCAR:
```
Ca2Be3Si4Au
1.0
-2.876 -1.069 2.554
-1.781 -2.106 -2.886
5.341 -8.107 2.620
Ca Be Si Au
2 3 4 1
direct
0.500 0.000 0.243
0.000 0.500 0.757
0.000 0.000 0.500
0.500 0.000 0.871
0.000 0.500 0.129
0.500 0.500 0.000
0.000 0.000 0.000
0.500 0.000 0.646
0.000 0.500 0.354
0.500 0.500 0.500
```

Summary:
Raw formation energy ... -271 meV per atom
Symmetry ... P-4m2, No. 115

---

[20]
DFT (GGA-PBE) results for a relaxed Pm3Mg4In4 crystal.

Cell and atoms, written as POSCAR:
```
Pm3Mg4In4
1.0
4.648 0.000 -1.156
-0.922 6.561 -3.705
-0.214 0.696 9.062
Pm Mg In
3 4 4
direct
0.121 0.121 0.242
0.879 0.879 0.758
0.000 0.500 0.000
0.328 0.133 0.657
0.672 0.476 0.343
0.672 0.867 0.343
0.328 0.524 0.657
0.216 0.716 0.431
0.784 0.284 0.569
0.500 0.806 0.000
0.500 0.194 0.000
```

Summary:
Formation energy ... -0.37 eV/atom
Symmetry ... Immm, No. 71

---

[21]
DFT (GGA-PBE) results for a relaxed La7Co2AgHg2 crystal.

Cell and atoms, written as POSCAR:
```
La7Co2AgHg2
1.0
5.292 -0.012 0.017
-0.005 5.292 0.017
2.605 2.601 13.288
La Co Ag Hg
7 2 1 2
direct
0.500 0.500 0.000
0.292 0.292 0.415
0.708 0.708 0.585
0.901 0.400 0.199
0.400 0.901 0.199
0.600 0.099 0.801
0.099 0.600 0.801
0.597 0.597 0.804
0.403 0.403 0.196
0.000 0.000 0.000
0.823 0.823 0.352
0.177 0.177 0.648
```

Summary:
Formation energy ... -0.20 eV/atom
Symmetry ... C2/m, No. 12

---

[22]
DFT (GGA-PBE) results for a relaxed Ac6Nd5Y2 crystal.

Cell and atoms, written as POSCAR:
```
Ac6Nd5Y2
1.0
3.772 0.000 0.000
0.000 11.454 0.000
0.000 0.000 24.066
Ac Nd Y
12 10 4
direct
0.000 0.145 0.385
0.000 0.855 0.615
0.000 0.645 0.115
0.000 0.355 0.885
0.500 0.334 0.134
0.500 0.666 0.866
0.500 0.834 0.366
0.500 0.166 0.634
0.000 0.520 0.387
0.000 0.480 0.613
0.000 0.020 0.113
0.000 0.980 0.887
0.500 0.336 0.496
0.500 0.664 0.504
0.500 0.836 0.004
0.500 0.164 0.996
0.500 0.585 0.251
0.500 0.415 0.749
0.500 0.085 0.249
0.500 0.915 0.751
0.500 0.500 0.000
0.500 0.000 0.500
0.000 0.335 0.267
0.000 0.665 0.733
0.000 0.835 0.233
0.000 0.165 0.767
```

Summary:
Formation energy ... 0.15 eV/atom
Symmetry ... Pbam, No. 55

---

| no. | magnetization (μB/atom) |
| --- | --- |
| 1 | 0.000 |
| 2 | 0.000 |
| 3 | 0.534 |
| 4 | 0.000 |
| 5 | 0.000 |
| 6 | 0.000 |
| 7 | 1.200 |
| 8 | 0.000 |
| 9 | 0.000 |
| 10 | 0.000 |
| 11 | 0.249 |
| 12 | 1.123 |
| 13 | 1.061 |
| 14 | 0.000 |
| 15 | 0.000 |
| 16 | 0.000 |
| 17 | 0.000 |
| 18 | 0.000 |
| 19 | 0.000 |
| 20 | 0.000 |
| 21 | 0.000 |
| 22 | 0.000 |